No. 1
SiNiAu: relaxed, PBE-GGA.

abc: 3.981 3.981 3.128
angles: 90.00 90.00 120.00
Atoms (fractional coordinates):
Si (0.000, 0.000, 0.000)
Ni (0.333, 0.667, 0.000)
Au (0.667, 0.333, 0.500)

Calculated values
- Space-group type: P-6m2
- E_form (uncorrected): -93 meV/atom
- Energy: -14.761 eV/f.u.
- Mass density: 10977 kg/m³

=====

No. 2
SiNi4Au: relaxed, PBE-GGA.

abc: 4.743 4.743 4.743
angles: 60.00 60.00 60.00
Atoms (fractional coordinates):
Si (0.000, 0.000, 0.000)
Ni (0.124, 0.625, 0.625)
Ni (0.625, 0.124, 0.625)
Ni (0.625, 0.625, 0.124)
Ni (0.625, 0.625, 0.625)
Au (0.250, 0.250, 0.250)

Calculated values
- Space-group type: F-43m
- E_form (uncorrected): 127 meV/atom
- Energy: -31.062 eV/f.u.
- Mass density: 10122 kg/m³

=====

No. 3
SiNi6Au: relaxed, PBE-GGA.

abc: 6.248 6.248 10.249
angles: 90.00 90.00 109.93
Atoms (fractional coordinates):
Si (0.000, 0.000, 0.246)
Si (0.000, 0.000, 0.754)
Si (0.255, 0.745, 0.000)
Si (0.745, 0.255, 0.000)
Ni (0.000, 0.000, 0.000)
Ni (0.000, 0.000, 0.500)
Ni (0.114, 0.358, 0.367)
Ni (0.114, 0.358, 0.633)
Ni (0.115, 0.369, 0.118)
Ni (0.115, 0.369, 0.882)
Ni (0.244, 0.756, 0.237)
Ni (0.244, 0.756, 0.763)
Ni (0.358, 0.114, 0.367)
Ni (0.358, 0.114, 0.633)
Ni (0.369, 0.115, 0.118)
Ni (0.369, 0.115, 0.882)
Ni (0.500, 0.500, 0.000)
Ni (0.500, 0.500, 0.500)
Ni (0.631, 0.885, 0.118)
Ni (0.631, 0.885, 0.882)
Ni (0.642, 0.886, 0.367)
Ni (0.642, 0.886, 0.633)
Ni (0.756, 0.244, 0.237)
Ni (0.756, 0.244, 0.763)
Ni (0.885, 0.631, 0.118)
Ni (0.885, 0.631, 0.882)
Ni (0.886, 0.642, 0.367)
Ni (0.886, 0.642, 0.633)
Au (0.256, 0.744, 0.500)
Au (0.500, 0.500, 0.249)
Au (0.500, 0.500, 0.751)
Au (0.744, 0.256, 0.500)

Calculated values
- Space-group type: Cmmm
- E_form (uncorrected): -148 meV/atom
- Energy: -44.571 eV/f.u.
- Mass density: 10195 kg/m³

=====

No. 4
SiNiAu: relaxed, PBE-GGA.

abc: 2.876 2.876 6.035
angles: 90.00 90.00 120.00
Atoms (fractional coordinates):
Si (0.000, 0.000, 0.000)
Ni (0.333, 0.667, 0.736)
Au (0.667, 0.333, 0.366)

Calculated values
- Space-group type: P3m1
- E_form (uncorrected): -24 meV/atom
- Energy: -14.553 eV/f.u.
- Mass density: 10897 kg/m³

=====

No. 5
SiNiAu4: relaxed, PBE-GGA.

abc: 5.435 5.435 5.435
angles: 60.00 60.00 60.00
Atoms (fractional coordinates):
Si (0.000, 0.000, 0.000)
Ni (0.750, 0.750, 0.750)
Au (0.375, 0.375, 0.375)
Au (0.375, 0.375, 0.874)
Au (0.375, 0.874, 0.375)
Au (0.874, 0.375, 0.375)

Calculated values
- Space-group type: F-43m
- E_form (uncorrected): 529 meV/atom
- Energy: -21.138 eV/f.u.
- Mass density: 12791 kg/m³

=====

No. 6
Tb3Si6Ni2Au: relaxed, PBE-GGA.

abc: 5.663 5.663 8.124
angles: 90.00 90.00 120.00
Atoms (fractional coordinates):
Tb (0.000, 0.000, 0.000)
Tb (0.333, 0.667, 0.603)
Tb (0.667, 0.333, 0.397)
Si (0.191, 0.381, 0.269)
Si (0.191, 0.809, 0.269)
Si (0.381, 0.191, 0.731)
Si (0.619, 0.809, 0.269)
Si (0.809, 0.191, 0.731)
Si (0.809, 0.619, 0.731)
Ni (0.333, 0.667, 0.038)
Ni (0.667, 0.333, 0.962)
Au (0.000, 0.000, 0.500)

Calculated values
- Space-group type: P-3m1
- E_form (uncorrected): -279 meV/atom
- Energy: -64.620 eV/f.u.
- Mass density: 7062 kg/m³

=====

No. 7
Th2Si4Ni3Au: relaxed, PBE-GGA.

abc: 4.143 4.143 9.710
angles: 90.00 90.00 90.00
Atoms (fractional coordinates):
Th (0.000, 0.500, 0.240)
Th (0.500, 0.000, 0.760)
Si (0.000, 0.000, 0.000)
Si (0.000, 0.500, 0.644)
Si (0.500, 0.000, 0.356)
Si (0.500, 0.500, 0.000)
Ni (0.000, 0.500, 0.885)
Ni (0.500, 0.000, 0.115)
Ni (0.500, 0.500, 0.500)
Au (0.000, 0.000, 0.500)

Calculated values
- Space-group type: P-4m2
- E_form (uncorrected): -796 meV/atom
- Energy: -65.110 eV/f.u.
- Mass density: 9458 kg/m³

=====

No. 8
Th2Si3Ni12Au: relaxed, PBE-GGA.

abc: 6.375 6.375 6.375
angles: 84.86 84.86 84.86
Atoms (fractional coordinates):
Th (0.158, 0.158, 0.158)
Th (0.842, 0.842, 0.842)
Si (0.000, 0.500, 0.500)
Si (0.500, 0.000, 0.500)
Si (0.500, 0.500, 0.000)
Ni (0.116, 0.116, 0.600)
Ni (0.116, 0.600, 0.116)
Ni (0.189, 0.691, 0.691)
Ni (0.309, 0.309, 0.811)
Ni (0.309, 0.811, 0.309)
Ni (0.400, 0.884, 0.884)
Ni (0.600, 0.116, 0.116)
Ni (0.691, 0.189, 0.691)
Ni (0.691, 0.691, 0.189)
Ni (0.811, 0.309, 0.309)
Ni (0.884, 0.400, 0.884)
Ni (0.884, 0.884, 0.400)
Au (0.500, 0.500, 0.500)

Calculated values
- Space-group type: R-3m
- E_form (uncorrected): -121 meV/atom
- Energy: -105.937 eV/f.u.
- Mass density: 9398 kg/m³

=====

No. 9
Th2Si3Ni4Au: relaxed, PBE-GGA.

abc: 4.093 4.093 9.869
angles: 90.00 90.00 90.00
Atoms (fractional coordinates):
Th (0.000, 0.500, 0.240)
Th (0.500, 0.000, 0.760)
Si (0.000, 0.500, 0.880)
Si (0.500, 0.000, 0.120)
Si (0.500, 0.500, 0.500)
Ni (0.000, 0.000, 0.000)
Ni (0.000, 0.500, 0.648)
Ni (0.500, 0.000, 0.352)
Ni (0.500, 0.500, 0.000)
Au (0.000, 0.000, 0.500)

Calculated values
- Space-group type: P-4m2
- E_form (uncorrected): -713 meV/atom
- Energy: -64.645 eV/f.u.
- Mass density: 9846 kg/m³

=====

No. 10
U2Si4Ni3Au: relaxed, PBE-GGA.

abc: 4.027 4.027 9.702
angles: 90.00 90.00 90.00
Atoms (fractional coordinates):
U (0.000, 0.500, 0.238)
U (0.500, 0.000, 0.762)
Si (0.000, 0.000, 0.000)
Si (0.000, 0.500, 0.649)
Si (0.500, 0.000, 0.351)
Si (0.500, 0.500, 0.000)
Ni (0.000, 0.500, 0.883)
Ni (0.500, 0.000, 0.117)
Ni (0.500, 0.500, 0.500)
Au (0.000, 0.000, 0.500)

Calculated values
- Space-group type: P-4m2
- E_form (uncorrected): -501 meV/atom
- Energy: -69.900 eV/f.u.
- Mass density: 10146 kg/m³

=====

No. 11
YSi2NiAu: relaxed, PBE-GGA.

abc: 5.284 5.284 4.687
angles: 90.00 90.00 90.00
Atoms (fractional coordinates):
Y (0.000, 0.000, 0.000)
Si (0.000, 0.500, 0.000)
Si (0.500, 0.000, 0.000)
Ni (0.000, 0.000, 0.500)
Au (0.500, 0.500, 0.500)

Calculated values
- Space-group type: P4/mmm
- E_form (uncorrected): 1373 meV/atom
- Energy: -19.504 eV/f.u.
- Mass density: 5084 kg/m³

=====

No. 12
Sm5Ni2Au: relaxed, PBE-GGA.

abc: 8.559 8.559 8.559
angles: 125.64 125.64 80.48
Atoms (fractional coordinates):
Sm (0.000, 0.000, 0.000)
Sm (0.024, 0.524, 0.826)
Sm (0.199, 0.024, 0.500)
Sm (0.301, 0.801, 0.826)
Sm (0.476, 0.301, 0.500)
Sm (0.500, 0.500, 0.000)
Sm (0.524, 0.699, 0.500)
Sm (0.699, 0.199, 0.174)
Sm (0.801, 0.976, 0.500)
Sm (0.976, 0.476, 0.174)
Ni (0.122, 0.378, 0.500)
Ni (0.378, 0.878, 0.256)
Ni (0.622, 0.122, 0.744)
Ni (0.878, 0.622, 0.500)
Au (0.250, 0.250, 0.000)
Au (0.750, 0.750, 0.000)

Calculated values
- Space-group type: I4/mcm
- Energy: -41.546 eV/f.u.
- Mass density: 8863 kg/m³
- ΔE_f: -389 meV per atom

=====

No. 13
Sm12NiAu6: relaxed, PBE-GGA.

abc: 8.492 8.492 8.492
angles: 98.73 98.73 98.73
Atoms (fractional coordinates):
Sm (0.036, 0.936, 0.686)
Sm (0.064, 0.314, 0.964)
Sm (0.182, 0.579, 0.427)
Sm (0.314, 0.964, 0.064)
Sm (0.421, 0.573, 0.818)
Sm (0.427, 0.182, 0.579)
Sm (0.573, 0.818, 0.421)
Sm (0.579, 0.427, 0.182)
Sm (0.686, 0.036, 0.936)
Sm (0.818, 0.421, 0.573)
Sm (0.936, 0.686, 0.036)
Sm (0.964, 0.064, 0.314)
Ni (0.000, 0.000, 0.000)
Au (0.132, 0.305, 0.626)
Au (0.305, 0.626, 0.132)
Au (0.374, 0.868, 0.695)
Au (0.626, 0.132, 0.305)
Au (0.695, 0.374, 0.868)
Au (0.868, 0.695, 0.374)

Calculated values
- Space-group type: R-3
- Energy: -90.038 eV/f.u.
- Mass density: 8591 kg/m³
- ΔE_f: -419 meV per atom

=====

No. 14
SmNi4Au: relaxed, PBE-GGA.

abc: 4.982 4.982 4.982
angles: 60.00 60.00 60.00
Atoms (fractional coordinates):
Sm (0.000, 0.000, 0.000)
Ni (0.127, 0.624, 0.624)
Ni (0.624, 0.127, 0.624)
Ni (0.624, 0.624, 0.127)
Ni (0.624, 0.624, 0.624)
Au (0.250, 0.250, 0.250)

Calculated values
- Space-group type: F-43m
- Energy: -33.101 eV/f.u.
- Mass density: 11051 kg/m³
- ΔE_f: -330 meV per atom

=====

No. 15
Sm3Ni2Au4: relaxed, PBE-GGA.

abc: 5.927 5.927 9.311
angles: 114.39 114.39 41.17
Atoms (fractional coordinates):
Sm (0.000, 0.000, 0.000)
Sm (0.315, 0.315, 0.367)
Sm (0.685, 0.685, 0.633)
Ni (0.398, 0.398, 0.738)
Ni (0.602, 0.602, 0.262)
Au (0.025, 0.025, 0.360)
Au (0.267, 0.267, 0.908)
Au (0.733, 0.733, 0.092)
Au (0.975, 0.975, 0.640)

Calculated values
- Space-group type: C2/m
- Energy: -44.378 eV/f.u.
- Mass density: 11654 kg/m³
- ΔE_f: -616 meV per atom

=====

No. 16
Sm5Ni2Au2: relaxed, PBE-GGA.

abc: 8.692 8.692 7.720
angles: 90.00 90.00 49.92
Atoms (fractional coordinates):
Sm (0.000, 0.000, 0.000)
Sm (0.040, 0.699, 0.677)
Sm (0.199, 0.540, 0.177)
Sm (0.301, 0.960, 0.677)
Sm (0.460, 0.801, 0.177)
Sm (0.500, 0.500, 0.500)
Sm (0.540, 0.199, 0.823)
Sm (0.699, 0.040, 0.323)
Sm (0.801, 0.460, 0.823)
Sm (0.960, 0.301, 0.323)
Ni (0.117, 0.883, 0.383)
Ni (0.383, 0.617, 0.883)
Ni (0.617, 0.383, 0.117)
Ni (0.883, 0.117, 0.617)
Au (0.210, 0.210, 0.000)
Au (0.290, 0.290, 0.500)
Au (0.710, 0.710, 0.500)
Au (0.790, 0.790, 0.000)

Calculated values
- Space-group type: Cmce
- Energy: -46.121 eV/f.u.
- Mass density: 9401 kg/m³
- ΔE_f: -490 meV per atom

=====

No. 17
Sm3NiAu: relaxed, PBE-GGA.

abc: 6.114 6.114 8.385
angles: 111.12 111.12 65.78
Atoms (fractional coordinates):
Sm (0.023, 0.023, 0.227)
Sm (0.295, 0.295, 0.673)
Sm (0.319, 0.319, 0.136)
Sm (0.681, 0.681, 0.864)
Sm (0.705, 0.705, 0.327)
Sm (0.977, 0.977, 0.773)
Ni (0.311, 0.689, 0.000)
Ni (0.689, 0.311, 0.000)
Au (0.281, 0.719, 0.500)
Au (0.719, 0.281, 0.500)

Calculated values
- Space-group type: C2/m
- Energy: -25.332 eV/f.u.
- Mass density: 9090 kg/m³
- ΔE_f: -423 meV per atom

=====

No. 18
Sm3NiAu2: relaxed, PBE-GGA.

abc: 12.101 4.507 10.812
angles: 90.00 90.00 90.00
Atoms (fractional coordinates):
Sm (0.053, 0.250, 0.122)
Sm (0.111, 0.750, 0.561)
Sm (0.237, 0.250, 0.792)
Sm (0.263, 0.750, 0.292)
Sm (0.389, 0.250, 0.061)
Sm (0.447, 0.750, 0.622)
Sm (0.553, 0.250, 0.378)
Sm (0.611, 0.750, 0.939)
Sm (0.737, 0.250, 0.708)
Sm (0.763, 0.750, 0.208)
Sm (0.889, 0.250, 0.439)
Sm (0.947, 0.750, 0.878)
Ni (0.123, 0.250, 0.370)
Ni (0.377, 0.750, 0.870)
Ni (0.623, 0.250, 0.130)
Ni (0.877, 0.750, 0.630)
Au (0.004, 0.750, 0.302)
Au (0.194, 0.750, 0.001)
Au (0.306, 0.250, 0.501)
Au (0.496, 0.250, 0.802)
Au (0.504, 0.750, 0.198)
Au (0.694, 0.750, 0.499)
Au (0.806, 0.250, 0.999)
Au (0.996, 0.250, 0.698)

Calculated values
- Space-group type: Pnma
- Energy: -30.252 eV/f.u.
- Mass density: 10180 kg/m³
- ΔE_f: -627 meV per atom

=====

No. 19
Sm2NiAu: relaxed, PBE-GGA.

abc: 5.747 4.550 7.730
angles: 90.00 110.65 90.00
Atoms (fractional coordinates):
Sm (0.213, 0.250, 0.434)
Sm (0.231, 0.250, 0.926)
Sm (0.769, 0.750, 0.074)
Sm (0.787, 0.750, 0.566)
Ni (0.342, 0.750, 0.709)
Ni (0.658, 0.250, 0.291)
Au (0.338, 0.750, 0.213)
Au (0.662, 0.250, 0.787)

Calculated values
- Space-group type: P2_1/m
- Energy: -20.801 eV/f.u.
- Mass density: 9768 kg/m³
- ΔE_f: -576 meV per atom

=====

No. 20
Sm6NiAu2: relaxed, PBE-GGA.

abc: 6.899 7.311 12.242
angles: 90.00 122.64 90.00
Atoms (fractional coordinates):
Sm (0.115, 0.188, 0.440)
Sm (0.115, 0.312, 0.940)
Sm (0.253, 0.684, 0.436)
Sm (0.253, 0.816, 0.936)
Sm (0.383, 0.020, 0.246)
Sm (0.383, 0.480, 0.746)
Sm (0.617, 0.520, 0.254)
Sm (0.617, 0.980, 0.754)
Sm (0.747, 0.184, 0.064)
Sm (0.747, 0.316, 0.564)
Sm (0.885, 0.688, 0.060)
Sm (0.885, 0.812, 0.560)
Ni (0.500, 0.000, 0.500)
Ni (0.500, 0.500, 0.000)
Au (0.190, 0.108, 0.742)
Au (0.190, 0.392, 0.242)
Au (0.810, 0.608, 0.758)
Au (0.810, 0.892, 0.258)

Calculated values
- Space-group type: P2_1/c
- Energy: -44.271 eV/f.u.
- Mass density: 8652 kg/m³
- ΔE_f: -402 meV per atom

=====

No. 21
Sm2Ni2Au: relaxed, PBE-GGA.

abc: 7.204 7.204 3.738
angles: 90.00 90.00 148.37
Atoms (fractional coordinates):
Sm (0.131, 0.869, 0.000)
Sm (0.869, 0.131, 0.000)
Ni (0.301, 0.699, 0.500)
Ni (0.699, 0.301, 0.500)
Au (0.500, 0.500, 0.500)

Calculated values
- Space-group type: Cmmm
- Energy: -27.059 eV/f.u.
- Mass density: 10040 kg/m³
- ΔE_f: -556 meV per atom